# 1
A plane-wave DFT calculation with PBE-GGA was carried out for a relaxed structure of La3Pr2Ga2.

Cell lengths 4.497, 6.486, 8.622 Å; angles 108.31, 90.00, 110.28 degrees
Atoms (fractional coordinates):
La 0.500 0.000 0.000
La 0.632 0.263 0.443
La 0.368 0.737 0.557
Pr 0.850 0.701 0.196
Pr 0.150 0.299 0.804
Ga 0.830 0.659 0.800
Ga 0.170 0.341 0.200

The uncorrected energy comes out at -4.641 eV per atom. The symmetry is C2/m (12).

***

# 2
A plane-wave DFT calculation with PBE-GGA was carried out for a relaxed structure of CuRe2W.

Cell lengths 3.976, 2.746, 6.079 Å; angles 62.35, 90.00, 90.00 degrees
Atoms (fractional coordinates):
Cu 0.500 0.750 0.750
Re 0.000 0.000 0.004
Re 0.500 0.260 0.241
W 0.000 0.490 0.504

The uncorrected energy comes out at -10.265 eV per atom. The symmetry is Pm (6).

***

# 3
A plane-wave DFT calculation with PBE-GGA was carried out for a relaxed structure of ErCoSi3Ir.

Cell lengths 5.486, 6.114, 7.094 Å; angles 115.53, 90.00, 90.00 degrees
Atoms (fractional coordinates):
Er 0.750 0.189 0.378
Er 0.250 0.811 0.622
Co 0.250 0.043 0.087
Co 0.750 0.957 0.913
Si 0.250 0.209 0.417
Si 0.000 0.285 0.000
Si 0.500 0.715 0.000
Si 0.500 0.285 0.000
Si 0.000 0.715 0.000
Si 0.750 0.791 0.583
Ir 0.250 0.384 0.767
Ir 0.750 0.616 0.233

The calculation puts the uncorrected formation energy at -2.983 eV per formula unit. The symmetry is Cmcm (63).

***

# 4
A plane-wave DFT calculation with PBE-GGA was carried out for a relaxed structure of Ca2CdPt.

Cell lengths 6.605, 6.605, 4.964 Å; angles 67.99, 67.99, 31.53 degrees
Atoms (fractional coordinates):
Ca 0.950 0.950 0.050
Ca 0.748 0.748 0.752
Pt 0.246 0.246 0.254
Cd 0.556 0.556 0.444

The uncorrected energy comes out at -3.278 eV per atom. The symmetry is Cm (8).

***

# 5
A plane-wave DFT calculation with PBE-GGA was carried out for a relaxed structure of MgHgBi2N.

Cell lengths 5.636, 5.089, 5.636 Å; angles 90.00, 90.00, 90.00 degrees
Atoms (fractional coordinates):
Mg 0.000 0.500 0.000
N 0.500 0.500 0.500
Bi 0.000 0.000 0.500
Bi 0.500 0.000 0.000
Hg 0.000 0.000 0.000

The calculation puts the uncorrected formation energy at 7.927 eV per formula unit. The symmetry is P4/mmm (123).

***

# 6
A plane-wave DFT calculation with PBE-GGA was carried out for a relaxed structure of Sm2DyHo8.

Cell lengths 5.560, 10.014, 10.014 Å; angles 40.69, 92.60, 92.60 degrees
Atoms (fractional coordinates):
Sm 0.749 0.284 0.284
Sm 0.251 0.716 0.716
Dy 0.000 0.000 0.000
Ho 0.267 0.136 0.604
Ho 0.267 0.604 0.136
Ho 0.733 0.864 0.396
Ho 0.236 0.546 0.546
Ho 0.733 0.396 0.864
Ho 0.233 0.186 0.186
Ho 0.767 0.814 0.814
Ho 0.764 0.454 0.454

The calculation puts the distance to the lowest polymorph of the same formula at 0.148 eV per atom. The symmetry is C2/m (12).

***

# 7
A plane-wave DFT calculation with PBE-GGA was carried out for a relaxed structure of CoTcAu2.

Cell lengths 2.783, 2.783, 7.914 Å; angles 90.00, 90.00, 90.00 degrees
Atoms (fractional coordinates):
Au 0.000 0.000 0.986
Au 0.500 0.500 0.276
Co 0.000 0.000 0.523
Tc 0.500 0.500 0.715

The calculation puts the distance to the lowest polymorph of the same formula at 0.000 eV per atom. The symmetry is P4mm (99).

***

# 8
A plane-wave DFT calculation with PBE-GGA was carried out for a relaxed structure of Rb4PrDy3Te8.

Cell lengths 9.130, 10.056, 9.131 Å; angles 117.02, 120.00, 90.00 degrees
Atoms (fractional coordinates):
Rb 0.500 0.000 0.000
Rb 0.500 0.000 0.500
Rb 0.000 0.000 0.000
Rb 0.000 0.000 0.500
Pr 0.000 0.500 0.000
Dy 0.500 0.500 0.000
Dy 0.500 0.500 0.500
Dy 0.000 0.500 0.500
Te 0.238 0.702 0.964
Te 0.238 0.702 0.476
Te 0.267 0.302 0.535
Te 0.726 0.702 0.964
Te 0.274 0.298 0.036
Te 0.733 0.698 0.465
Te 0.762 0.298 0.524
Te 0.762 0.298 0.036

The calculation puts the uncorrected formation energy at -22.213 eV per formula unit. The symmetry is R-3m (166).